1.
# MnAlRu2

An optimized crystal structure of MnAlRu2 (GGA-PBE, Alexandria via LeMat-Bulk).

Computed properties:
DOS(E_F)	28.5	states/eV/cell
formation energy from the elements	-1.31	kJ/mol of atoms

a = 6.0698 Å, b = 6.0698 Å, c = 6.0698 Å
α = 90.00°, β = 90.00°, γ = 90.00°
Space group F-43m (No. 216)
Symmetry-distinct sites (fractional):
1 Mn 0.0000 0.0000 0.0000 (multiplicity 4)
2 Al 0.2500 0.2500 0.7500 (multiplicity 4)
3 Ru 0.0000 0.0000 0.5000 (multiplicity 4)
4 Ru 0.2500 0.2500 0.2500 (multiplicity 4)

=====

2.
# MnAlRu2

An optimized crystal structure of MnAlRu2 (GGA-PBE, Alexandria via LeMat-Bulk).

Computed properties:
DOS(E_F)	4.1	states/eV/cell
formation energy from the elements	-15.07	kJ/mol of atoms

a = 4.4355 Å, b = 2.7801 Å, c = 4.7714 Å
α = 90.00°, β = 110.65°, γ = 90.00°
Space group P2/m (No. 10)
Symmetry-distinct sites (fractional):
1 Mn 0.0000 0.0000 0.0000 (multiplicity 1)
2 Al 0.0000 0.5000 0.5000 (multiplicity 1)
3 Ru 0.5000 0.0000 0.5000 (multiplicity 1)
4 Ru 0.5000 0.5000 0.0000 (multiplicity 1)

=====

3.
# MnAl2Ru4

An optimized crystal structure of MnAl2Ru4 (GGA-PBE, Alexandria via LeMat-Bulk).

Computed properties:
DOS(E_F)	12.9	states/eV/cell
formation energy from the elements	77.47	kJ/mol of atoms

a = 4.3231 Å, b = 4.3231 Å, c = 12.7613 Å
α = 90.00°, β = 90.00°, γ = 90.00°
Space group I4/mmm (No. 139)
Symmetry-distinct sites (fractional):
1 Mn 0.0000 0.0000 0.0000 (multiplicity 2)
2 Al 0.0000 0.0000 0.3759 (multiplicity 4)
3 Ru 0.0000 0.0000 0.1827 (multiplicity 4)
4 Ru 0.0000 0.5000 0.0000 (multiplicity 4)

=====

4.
# MnAlRu2

An optimized crystal structure of MnAlRu2 (GGA-PBE, Alexandria via LeMat-Bulk).

Computed properties:
DOS(E_F)	18.5	states/eV/cell
formation energy from the elements	36.16	kJ/mol of atoms

a = 6.6535 Å, b = 6.6535 Å, c = 5.3649 Å
α = 90.00°, β = 90.00°, γ = 90.00°
Space group I-42d (No. 122)
Symmetry-distinct sites (fractional):
1 Mn 0.0000 0.0000 0.0000 (multiplicity 4)
2 Al 0.0000 0.0000 0.5000 (multiplicity 4)
3 Ru 0.2277 0.2500 0.1250 (multiplicity 8)

=====

5.
# MnAlRu2

An optimized crystal structure of MnAlRu2 (GGA-PBE, Alexandria via LeMat-Bulk).

Computed properties:
DOS(E_F)	8.6	states/eV/cell
formation energy from the elements	-15.78	kJ/mol of atoms

a = 8.4886 Å, b = 2.7826 Å, c = 4.7441 Å
α = 90.00°, β = 102.35°, γ = 90.00°
Space group C2/m (No. 12)
Symmetry-distinct sites (fractional):
1 Mn 0.0000 0.0000 0.0000 (multiplicity 2)
2 Al 0.0000 0.5000 0.5000 (multiplicity 2)
3 Ru 0.2472 0.5000 0.2425 (multiplicity 4)

=====

6.
# Mn2AlRu3

An optimized crystal structure of Mn2AlRu3 (GGA-PBE, Alexandria via LeMat-Bulk).

Computed properties:
DOS(E_F)	9.8	states/eV/cell
formation energy from the elements	-22.44	kJ/mol of atoms

a = 4.2382 Å, b = 12.6838 Å, c = 3.0016 Å
α = 90.00°, β = 90.00°, γ = 90.00°
Space group Cmmm (No. 65)
Symmetry-distinct sites (fractional):
1 Mn 0.0000 0.1660 0.0000 (multiplicity 4)
2 Al 0.0000 0.5000 0.0000 (multiplicity 2)
3 Ru 0.0000 0.0000 0.5000 (multiplicity 2)
4 Ru 0.0000 0.3316 0.5000 (multiplicity 4)